A plane-wave DFT calculation with GGA-PBE was carried out for a relaxed structure of MnTcSbRh. Values from VASP.

Structure (Quantum ESPRESSO input):
```
&SYSTEM
  ibrav = 0, nat = 4, ntyp = 4
/
ATOMIC_SPECIES
Mn 54.94 Mn.upf
Tc 98.00 Tc.upf
Sb 121.76 Sb.upf
Rh 102.91 Rh.upf
ATOMIC_POSITIONS crystal
Mn 0.000 0.000 0.000
Tc 0.250 0.250 0.250
Sb 0.500 0.500 0.500
Rh 0.750 0.750 0.750
CELL_PARAMETERS angstrom
0.000 3.142 3.142
3.142 0.000 3.142
3.142 3.142 0.000
```

Computed properties:
The total energy comes out at -31.6 eV for the cell shown. The symmetry is F-43m, No. 216.